[1]
Computed, not measured: a geometry-optimized Ba4TiAs4 structure at the GGA-PBE level of DFT.

Cell: 7.027 9.465 9.465 Å, 90.00 90.00 90.00°
Fractional coordinates of all 18 atoms:
As 0.197 0.000 0.220
Ba 0.173 0.774 0.500
As 0.197 0.000 0.780
Ba 0.827 0.500 0.226
As 0.697 0.280 0.500
Ba 0.827 0.500 0.774
Ba 0.673 0.000 0.274
As 0.803 0.220 0.000
Ba 0.327 0.726 0.000
As 0.803 0.780 0.000
Ba 0.327 0.274 0.000
Ba 0.173 0.226 0.500
Ti 0.000 0.000 0.000
As 0.303 0.500 0.280
As 0.697 0.720 0.500
As 0.303 0.500 0.720
Ti 0.500 0.500 0.500
Ba 0.673 0.000 0.726

Computed properties:
relative energy among the computed polymorphs = 20 meV per atom

[2]
Computed, not measured: a geometry-optimized NaPaIn2 structure at the GGA-PBE level of DFT.

Cell: 3.100 5.790 5.790 Å, 90.00 90.00 90.00°
Fractional coordinates of all 4 atoms:
In 0.000 0.500 0.000
Na 0.500 0.000 0.000
Pa 0.500 0.500 0.500
In 0.000 0.000 0.500

Computed properties:
relative energy among the computed polymorphs = 30 meV per atom

[3]
Computed, not measured: a geometry-optimized Na7Cd5 structure at the GGA-PBE level of DFT.

Cell: 5.362 6.430 10.788 Å, 89.94 90.00 114.65°
Fractional coordinates of all 12 atoms:
Na 0.652 0.305 0.995
Cd 0.000 0.000 0.000
Cd 0.282 0.563 0.448
Na 0.348 0.695 0.005
Cd 0.151 0.302 0.211
Na 0.827 0.653 0.252
Cd 0.718 0.437 0.552
Cd 0.849 0.698 0.789
Na 0.527 0.053 0.301
Na 0.173 0.347 0.748
Na 0.473 0.947 0.699
Na 0.000 0.000 0.500

Computed properties:
relative energy among the computed polymorphs = 0 meV per atom

[4]
Computed, not measured: a geometry-optimized Ac2TbZn3 structure at the GGA-PBE level of DFT.

Cell: 3.790 3.790 11.453 Å, 90.00 90.00 90.00°
Fractional coordinates of all 6 atoms:
Zn 0.000 0.000 0.637
Zn 0.000 0.000 0.363
Ac 0.500 0.500 0.823
Ac 0.500 0.500 0.177
Zn 0.000 0.000 0.000
Tb 0.500 0.500 0.500

Computed properties:
final energy = -3.034 eV per atom

Copy entry 2 word for word.
Computed, not measured: a geometry-optimized NaPaIn2 structure at the GGA-PBE level of DFT.

Cell: 3.100 5.790 5.790 Å, 90.00 90.00 90.00°
Fractional coordinates of all 4 atoms:
In 0.000 0.500 0.000
Na 0.500 0.000 0.000
Pa 0.500 0.500 0.500
In 0.000 0.000 0.500

Computed properties:
relative energy among the computed polymorphs = 30 meV per atom

Please write out number 2 again, unchanged.
Computed, not measured: a geometry-optimized NaPaIn2 structure at the GGA-PBE level of DFT.

Cell: 3.100 5.790 5.790 Å, 90.00 90.00 90.00°
Fractional coordinates of all 4 atoms:
In 0.000 0.500 0.000
Na 0.500 0.000 0.000
Pa 0.500 0.500 0.500
In 0.000 0.000 0.500

Computed properties:
relative energy among the computed polymorphs = 30 meV per atom